# CsCd3Cu4Cl12 (PBE, relaxed)
data_CsCd3Cu4Cl12
_cell_length_a 8.694
_cell_length_b 8.694
_cell_length_c 8.694
_cell_angle_alpha 105.19
_cell_angle_beta 105.19
_cell_angle_gamma 105.19
_space_group_name_H-M_alt 'P 1'
_space_group_IT_number 1
_space_group_name_Hall 'P 1'
loop_
_atom_site_label
_atom_site_type_symbol
_atom_site_fract_x
_atom_site_fract_y
_atom_site_fract_z
Cs1 Cs 0.000 0.000 0.000
Cd1 Cd 0.000 0.569 0.431
Cd2 Cd 0.431 0.000 0.569
Cd3 Cd 0.569 0.431 0.000
Cu1 Cu 0.081 0.500 0.919
Cu2 Cu 0.500 0.500 0.500
Cu3 Cu 0.500 0.919 0.081
Cu4 Cu 0.919 0.081 0.500
Cl1 Cl 0.008 0.631 0.746
Cl2 Cl 0.088 0.912 0.500
Cl3 Cl 0.254 0.369 0.992
Cl4 Cl 0.338 0.662 0.500
Cl5 Cl 0.369 0.992 0.254
Cl6 Cl 0.500 0.088 0.912
Cl7 Cl 0.500 0.338 0.662
Cl8 Cl 0.631 0.746 0.008
Cl9 Cl 0.662 0.500 0.338
Cl10 Cl 0.746 0.008 0.631
Cl11 Cl 0.912 0.500 0.088
Cl12 Cl 0.992 0.254 0.369
# D(E_F) ... 9.5 states/eV/f.u.
# Raw formation energy ... -876.9 meV per atom
# Energy ... -2.984 eV per atom